[1]
Here is crystalline ZrAsPt2 at its relaxed geometry from Alexandria. Energies are from PBE.

The formation energy comes out at -0.70 eV per atom. The value obtained for the total energy is -28.06 eV/cell.

abc: 3.947 3.947 4.413
angles: 90.00 90.00 90.00
Space group P4/mmm (No. 123)
Symmetry-distinct sites (fractional):
Zr  0.000  0.000  0.000 [1 per cell]
As  0.500  0.500  0.000 [1 per cell]
Pt  0.000  0.500  0.500 [2 per cell]

=====

[2]
Here is crystalline InB2Pb at its relaxed geometry from Alexandria. Energies are from PBE.

The formation energy comes out at 1.55 eV per atom. The value obtained for the total energy is -54.45 eV/cell.

abc: 6.574 6.574 6.574
angles: 90.00 90.00 90.00
Space group Fm-3m (No. 225)
Symmetry-distinct sites (fractional):
In  0.000  0.000  0.000 [4 per cell]
B  0.250  0.250  0.250 [8 per cell]
Pb  0.000  0.000  0.500 [4 per cell]

=====

[3]
Here is crystalline Sb2TeAu at its relaxed geometry from Alexandria. Energies are from PBE.

The value obtained for the total energy is -13.62 eV/cell.

abc: 3.746 4.981 5.459
angles: 90.00 90.00 90.00
Space group Pmmm (No. 47)
Symmetry-distinct sites (fractional):
Sb  0.000  0.000  0.000 [1 per cell]
Sb  0.500  0.000  0.500 [1 per cell]
Te  0.000  0.500  0.500 [1 per cell]
Au  0.500  0.500  0.000 [1 per cell]

=====

[4]
Here is crystalline NaTb2USe5 at its relaxed geometry from Alexandria. Energies are from PBE.

The value obtained for the total energy is -102.36 eV/cell.

abc: 5.250 7.323 14.285
angles: 90.00 90.00 90.00
Space group Immm (No. 71)
Symmetry-distinct sites (fractional):
Na  0.000  0.000  0.000 [2 per cell]
Tb  0.000  0.500  0.201 [4 per cell]
U  0.000  0.000  0.500 [2 per cell]
Se  0.000  0.243  0.346 [8 per cell]
Se  0.000  0.500  0.000 [2 per cell]